{"formula": "Ni3TeN", "functional": "PBE-GGA", "state": "optimized geometry", "lattice": [[3.9502, 0.0000, 0.0000], [0.0000, 3.9502, 0.0000], [0.0000, 0.0000, 3.9502]], "species": ["Ni", "Ni", "Ni", "Te", "N"], "fractional_positions": [[0.0000, 0.5000, 0.0000], [0.0000, 0.0000, 0.5000], [0.5000, 0.0000, 0.0000], [0.5000, 0.5000, 0.5000], [0.0000, 0.0000, 0.0000]], "m_tot_mub_per_fu": 0.0, "rho_g_cm3": 8.6, "formation_energy_uncorrected_ev_per_atom": 0.150, "de_polymorph_ev_per_atom": 0.000, "spacegroup": "No. 221"}